Record 1
The following is a DFT calculation (PBE) of AcTePt after structural relaxation.

Summary:
**ΔE to the lowest computed polymorph**: 9 meV/atom
**Formation energy from raw total energies**: -1.1324 eV/atom

Unit cell a=4.638 b=4.638 c=4.463 alpha=90.00 beta=90.00 gamma=120.00
Atoms (fractional coordinates):
1 Ac 0.000 0.000 0.000
2 Te 0.333 0.667 0.485
3 Pt 0.667 0.333 0.578

Record 2
The following is a DFT calculation (PBE) of TaVCo6 after structural relaxation.

Summary:
**Formation energy from the elements**: -0.191 eV per atom

Unit cell a=6.196 b=6.196 c=10.126 alpha=90.00 beta=90.00 gamma=109.52
Atoms (fractional coordinates):
1 Ta 0.000 0.000 0.248
2 Ta 0.000 0.000 0.752
3 Ta 0.247 0.753 0.500
4 Ta 0.753 0.247 0.500
5 V 0.247 0.753 0.000
6 V 0.500 0.500 0.248
7 V 0.500 0.500 0.752
8 V 0.753 0.247 0.000
9 Co 0.000 0.000 0.000
10 Co 0.000 0.000 0.500
11 Co 0.129 0.382 0.121
12 Co 0.129 0.382 0.879
13 Co 0.133 0.380 0.371
14 Co 0.133 0.380 0.629
15 Co 0.254 0.746 0.243
16 Co 0.254 0.746 0.757
17 Co 0.380 0.133 0.371
18 Co 0.380 0.133 0.629
19 Co 0.382 0.129 0.121
20 Co 0.382 0.129 0.879
21 Co 0.500 0.500 0.000
22 Co 0.500 0.500 0.500
23 Co 0.618 0.871 0.121
24 Co 0.618 0.871 0.879
25 Co 0.620 0.867 0.371
26 Co 0.620 0.867 0.629
27 Co 0.746 0.254 0.243
28 Co 0.746 0.254 0.757
29 Co 0.867 0.620 0.371
30 Co 0.867 0.620 0.629
31 Co 0.871 0.618 0.121
32 Co 0.871 0.618 0.879

| no. | volume (Å³ per cell) | D(E_F) (states/eV per atom) |
| --- | --- | --- |
| 1 | 83.13 | 0.771 |
| 2 | 366.43 | 0.976 |